## Pd2Pt2Pb (GGA-PBE)

Data for an optimized crystal structure of Pd2Pt2Pb.

Values from the calculation:
raw total energy	-5.0440	eV/atom
formation enthalpy at 0 K	0.19	eV per atom
N(E_F)	3.7	states/eV/f.u.

CIF file:
```
data_Pd2Pt2Pb
_space_group_name_H-M_alt 'P 63/m m c'
_space_group_IT_number 194
_space_group_name_Hall '-P 6c 2c'
_cell_length_a 4.5077
_cell_length_b 4.5077
_cell_length_c 10.3382
_cell_angle_alpha 90.00
_cell_angle_beta 90.00
_cell_angle_gamma 120.00
loop_
_atom_site_label
_atom_site_type_symbol
_atom_site_fract_x
_atom_site_fract_y
_atom_site_fract_z
Pd1 Pd 0.0000 0.0000 0.0000
Pd2 Pd 0.3333 0.6667 0.2500
Pt1 Pt 0.3333 0.6667 0.5938
Pb1 Pb 0.0000 0.0000 0.2500
```